[1]
Cu3TcN | PBE | optimized geometry

Calculated values
Uncorrected formation energy   0.7190 eV/atom
N(E_F)   4.7 states/eV/cell
Offset from the most stable computed form   0 meV/atom

abc: 3.8753 3.8753 3.8753
angles: 90.00 90.00 90.00
Positions (direct):
Cu (0.0000, 0.0000, 0.5000)
Cu (0.0000, 0.5000, 0.0000)
Cu (0.5000, 0.0000, 0.0000)
Tc (0.5000, 0.5000, 0.5000)
N (0.0000, 0.0000, 0.0000)

---

[2]
MnPt2Se | PBE | optimized geometry

Calculated values
Uncorrected formation energy   -0.0078 eV/atom
N(E_F)   2.4 states/eV/cell

abc: 3.4966 3.4966 5.4348
angles: 90.00 90.00 90.00
Positions (direct):
Mn (0.0000, 0.0000, 0.0000)
Pt (0.0000, 0.0000, 0.4840)
Pt (0.5000, 0.5000, 0.2008)
Se (0.5000, 0.5000, 0.6923)

---

[3]
La8Pd3RuI4 | PBE | optimized geometry

Calculated values
Uncorrected formation energy   -0.9425 eV/atom
N(E_F)   10.2 states/eV/cell

abc: 9.6429 9.6429 9.6429
angles: 52.93 52.93 52.93
Positions (direct):
La (0.2297, 0.2297, 0.2297)
La (0.2428, 0.7233, 0.7233)
La (0.2767, 0.2767, 0.7572)
La (0.2767, 0.7572, 0.2767)
La (0.7233, 0.2428, 0.7233)
La (0.7233, 0.7233, 0.2428)
La (0.7572, 0.2767, 0.2767)
La (0.7703, 0.7703, 0.7703)
Pd (0.0000, 0.0000, 0.5000)
Pd (0.0000, 0.5000, 0.0000)
Pd (0.5000, 0.0000, 0.0000)
Ru (0.5000, 0.5000, 0.5000)
I (0.0000, 0.0000, 0.0000)
I (0.0000, 0.5000, 0.5000)
I (0.5000, 0.0000, 0.5000)
I (0.5000, 0.5000, 0.0000)

---

[4]
Tb2TmSi2Rh5 | PBE | optimized geometry

Calculated values
Uncorrected formation energy   -1.0117 eV/atom
N(E_F)   7.8 states/eV/cell

abc: 9.9757 9.9757 3.5271
angles: 90.00 90.00 90.00
Positions (direct):
Tb (0.1740, 0.3260, 0.0000)
Tb (0.3260, 0.8260, 0.0000)
Tb (0.6740, 0.1740, 0.0000)
Tb (0.8260, 0.6740, 0.0000)
Tm (0.0000, 0.0000, 0.0000)
Tm (0.5000, 0.5000, 0.0000)
Si (0.1229, 0.6229, 0.0000)
Si (0.3771, 0.1229, 0.0000)
Si (0.6229, 0.8771, 0.0000)
Si (0.8771, 0.3771, 0.0000)
Rh (0.0000, 0.5000, 0.5000)
Rh (0.0699, 0.7790, 0.5000)
Rh (0.2210, 0.0699, 0.5000)
Rh (0.2790, 0.5699, 0.5000)
Rh (0.4301, 0.2790, 0.5000)
Rh (0.5000, 0.0000, 0.5000)
Rh (0.5699, 0.7210, 0.5000)
Rh (0.7210, 0.4301, 0.5000)
Rh (0.7790, 0.9301, 0.5000)
Rh (0.9301, 0.2210, 0.5000)

---

[5]
Sr2OsBr | PBE | optimized geometry

Calculated values
Uncorrected formation energy   -0.1239 eV/atom
N(E_F)   3.1 states/eV/cell
Offset from the most stable computed form   133 meV/atom

abc: 8.8400 8.8400 8.8400
angles: 26.36 26.36 26.36
Positions (direct):
Sr (0.2420, 0.2420, 0.2420)
Sr (0.7580, 0.7580, 0.7580)
Os (0.5000, 0.5000, 0.5000)
Br (0.0000, 0.0000, 0.0000)

---

[6]
TbHoMnOs | PBE | optimized geometry

Calculated values
N(E_F)   2.5 states/eV/cell
Formation enthalpy at 0 K   0 meV per atom

abc: 4.9017 4.9017 4.9017
angles: 60.00 60.00 60.00
Positions (direct):
Tb (0.0000, 0.0000, 0.0000)
Ho (0.5000, 0.5000, 0.5000)
Mn (0.2500, 0.2500, 0.2500)
Os (0.7500, 0.7500, 0.7500)